PmNd3Ag4 after structural relaxation, computed with PBE-GGA.

Its total DFT energy (no corrections) is -4.07 eV/atom. As for the energy relative to the elements: -0.26 eV/atom.

a b c (Å): 3.7486 3.7486 15.0080
angles (deg): 90.00 90.00 90.00
Atoms (fractional coordinates):
1 Pm 0.0000 0.0000 0.0000
2 Nd 0.0000 0.0000 0.2491
3 Nd 0.0000 0.0000 0.5000
4 Nd 0.0000 0.0000 0.7509
5 Ag 0.5000 0.5000 0.1223
6 Ag 0.5000 0.5000 0.3748
7 Ag 0.5000 0.5000 0.6252
8 Ag 0.5000 0.5000 0.8777